Computed, not measured: an optimized crystal structure of TbGdCd4 at the GGA-PBE level of DFT.

Structure (POSCAR):
```
TbGdCd4
1.0
0.0000 4.1915 4.1915
4.1915 0.0000 4.1915
4.1915 4.1915 0.0000
Tb Gd Cd
1 1 4
Direct
0.0000 0.0000 0.0000 Tb
0.2500 0.2500 0.2500 Gd
0.1247 0.6251 0.6251 Cd
0.6251 0.1247 0.6251 Cd
0.6251 0.6251 0.1247 Cd
0.6251 0.6251 0.6251 Cd
```

Output
The formation energy comes out at -0.2728 eV/atom. The space group is F-43m (216). The energy comes out at -24.0 eV/cell. The density of states at the Fermi level comes out at 5.73 states/eV/f.u.